Entry 1:
7
Lattice="3.612 0.000 -0.485 -1.803 7.800 -4.302 -0.005 0.000 9.088" Properties=species:S:1:pos:R:3 comment="LaPr6 | Alexandria | GGA-PBE | relaxed" crystal_system=trigonal m_tot_mub_per_fu=0.00 formation_energy_ev_per_atom=0.116 dft_energy_ev_per_atom=-4.684 e_above_lowest_polymorph_mev_per_atom=0 pbc="T T T"
Pr 2.363 1.259 5.605
Pr -0.472 2.087 2.746
Pr 0.762 3.346 -0.585
Pr 1.041 4.454 4.886
Pr 2.275 5.713 1.556
Pr -0.560 6.541 -1.304
La 1.806 0.000 -0.242



Entry 2:
16
Lattice="-0.346 -1.178 10.512 0.738 -7.341 -0.798 7.380 0.707 0.322" Properties=species:S:1:pos:R:3 comment="La3Pr5 | Alexandria | GGA-PBE | relaxed" crystal_system=orthorhombic m_tot_mub_per_fu=0.00 formation_energy_ev_per_atom=0.010 dft_energy_ev_per_atom=-4.825 pbc="T T T"
La 5.632 -1.601 2.676
La 7.574 -3.550 5.179
La 5.459 -2.189 7.919
La 3.519 -0.236 5.417
La 0.567 -7.926 4.458
La 4.066 -3.309 -0.237
Pr 5.827 -5.859 7.536
Pr 7.375 0.701 0.322
Pr 2.138 -6.214 7.384
Pr 3.690 0.351 0.161
Pr 7.746 -2.964 -0.077
Pr 1.770 -2.544 7.773
Pr 2.313 -5.621 2.092
Pr 3.882 -3.910 5.017
Pr 6.001 -5.268 2.262
Pr 1.944 -1.953 2.500



Entry 3:
12
Lattice="5.289 0.000 0.000 0.000 7.411 0.000 0.000 0.000 11.147" Properties=species:S:1:pos:R:3 comment="La5Pr | Alexandria | GGA-PBE | relaxed" crystal_system=orthorhombic m_tot_mub_per_fu=0.00 formation_energy_ev_per_atom=0.006 dft_energy_ev_per_atom=-4.897 pbc="T T T"
La 3.967 0.932 2.787
La 3.967 4.643 6.489
La 1.322 6.479 8.360
La 1.322 2.768 4.658
La 3.966 0.917 6.494
La 3.967 4.643 10.231
La 1.322 6.495 4.653
La 1.322 6.495 0.920
La 3.966 0.917 10.227
La 1.322 2.768 0.916
Pr 1.322 2.785 8.360
Pr 3.967 4.626 2.787



Entry 4:
9
Lattice="6.450 0.000 0.000 -3.225 5.586 0.000 0.000 0.000 9.078" Properties=species:S:1:pos:R:3 comment="La7Pr2 | Alexandria | GGA-PBE | relaxed" crystal_system=trigonal m_tot_mub_per_fu=0.00 formation_energy_ev_per_atom=0.004 dft_energy_ev_per_atom=-4.891 e_above_lowest_polymorph_mev_per_atom=0 pbc="T T T"
La 0.000 0.000 0.000
La 1.076 1.863 3.037
La 2.152 0.000 6.041
La -2.149 3.723 3.037
La 4.298 0.000 3.037
La -1.076 1.863 6.041
La 2.149 3.723 6.041
Pr 3.225 1.862 0.000
Pr 0.000 3.724 0.000



Entry 5:
6
Lattice="3.780 0.000 0.000 0.000 5.615 -2.460 0.000 0.975 9.865" Properties=species:S:1:pos:R:3 comment="LaPr5 | Alexandria | GGA-PBE | relaxed" crystal_system=orthorhombic m_tot_mub_per_fu=0.00 formation_energy_ev_per_atom=0.093 dft_energy_ev_per_atom=-4.711 e_above_lowest_polymorph_mev_per_atom=81 pbc="T T T"
Pr 0.000 5.395 4.677
Pr 1.890 4.144 1.820
Pr 1.890 2.446 5.585
Pr 1.890 0.000 0.000
Pr 0.000 1.195 2.728
La 0.000 2.808 -1.230



Entry 6:
16
Lattice="10.580 0.000 0.000 0.000 7.420 0.002 0.000 -0.002 7.420" Properties=species:S:1:pos:R:3 comment="La5Pr3 | Alexandria | GGA-PBE | relaxed" crystal_system=orthorhombic m_tot_mub_per_fu=0.00 formation_energy_ev_per_atom=0.008 dft_energy_ev_per_atom=-4.864 e_above_lowest_polymorph_mev_per_atom=0 pbc="T T T"
La 2.648 5.563 5.566
La 2.648 1.855 1.856
La 5.290 3.717 3.703
La 2.638 5.565 1.856
La 7.942 5.565 1.856
La 0.000 7.419 3.709
La 7.931 5.563 5.566
La 7.931 1.855 1.856
La 0.000 3.713 0.001
La 0.000 -0.002 7.420
Pr 7.916 1.853 5.566
Pr 2.663 1.853 5.566
Pr 5.290 3.711 0.004
Pr 0.000 3.706 3.714
Pr 5.290 7.416 3.711
Pr 5.290 7.416 0.006



Entry 7:
7
Lattice="-5.874 -4.220 0.089 3.705 -0.895 6.148 -2.012 6.921 -0.618" Properties=species:S:1:pos:R:3 comment="LaPr6 | Alexandria | GGA-PBE | relaxed" crystal_system=cubic m_tot_mub_per_fu=0.00 formation_energy_ev_per_atom=1.061 dft_energy_ev_per_atom=-3.739 e_above_lowest_polymorph_mev_per_atom=945 pbc="T T T"
Pr 0.304 1.734 4.324
Pr -3.520 2.857 1.118
Pr -0.662 -1.051 4.501
Pr -4.485 0.072 1.295
Pr -3.056 -1.882 2.986
Pr -1.125 3.688 2.633
La 0.000 0.000 0.000



Entry 8:
7
Lattice="3.726 0.000 0.000 0.000 5.276 0.000 -1.863 -2.638 13.008" Properties=species:S:1:pos:R:3 comment="La4Pr3 | Alexandria | GGA-PBE | relaxed" crystal_system=orthorhombic m_tot_mub_per_fu=0.00 formation_energy_ev_per_atom=0.009 dft_energy_ev_per_atom=-4.855 e_above_lowest_polymorph_mev_per_atom=0 pbc="T T T"
Pr 1.863 0.000 9.285
Pr 0.000 2.638 0.000
Pr 0.000 2.638 3.723
La 1.863 0.000 5.561
La 0.000 2.638 7.447
La 1.863 0.000 1.853
La 0.000 2.638 11.155